1.
This record from the Alexandria database describes Np2CuO7 after structural relaxation. The functional is PBE.

Properties
- Magnetization: 1.0 μB/f.u.
- D(E_F): 7.177 states/eV/cell
- Formation energy without anion corrections: -2.09 eV per atom
- Space group: P2/m

Unit cell a=6.483 b=4.480 c=7.272 alpha=90.00 beta=93.64 gamma=90.00
Atoms (fractional coordinates):
Np (0.123, 0.000, 0.271)
Np (0.877, 0.000, 0.729)
Cu (0.000, 0.500, 0.500)
O (0.000, 0.000, 0.000)
O (0.131, 0.500, 0.286)
O (0.141, 0.000, 0.636)
O (0.386, 0.000, 0.211)
O (0.614, 0.000, 0.789)
O (0.859, 0.000, 0.364)
O (0.869, 0.500, 0.714)

2.
This record from the Alexandria database describes CdInB after structural relaxation. The functional is PBE.

Properties
- Magnetization: 0.0 μB/f.u.
- D(E_F): 1.748 states/eV/cell
- Energy of formation from the pure elements: 1.47 eV per formula unit
- Space group: P1

Unit cell a=3.863 b=5.809 c=5.983 alpha=115.93 beta=94.24 gamma=94.02
Atoms (fractional coordinates):
Cd (0.000, 0.000, 0.000)
Cd (0.460, 0.741, 0.221)
In (0.459, 0.231, 0.730)
In (0.919, 0.466, 0.447)
B (0.457, 0.655, 0.808)
B (0.465, 0.802, 0.629)

3.
This record from the Alexandria database describes YZr3Cd after structural relaxation. The functional is PBE.

Properties
- Magnetization: 0.1 μB/f.u.
- D(E_F): 11.251 states/eV/cell
- Polymorph energy (0 for the lowest one): 0.423 eV per atom
- Energy of formation from the pure elements: 6.56 eV per formula unit
- Space group: Pm-3m

Unit cell a=5.230 b=5.230 c=5.230 alpha=90.00 beta=90.00 gamma=90.00
Atoms (fractional coordinates):
Y (0.000, 0.000, 0.000)
Zr (0.000, 0.000, 0.500)
Zr (0.000, 0.500, 0.000)
Zr (0.500, 0.000, 0.000)
Cd (0.500, 0.500, 0.500)

4.
This record from the Alexandria database describes CsLi2GaHg after structural relaxation. The functional is PBE.

Properties
- Magnetization: 0.0 μB/f.u.
- D(E_F): 1.871 states/eV/cell
- Energy of formation from the pure elements: -0.36 eV per formula unit
- Space group: P4/mmm

Unit cell a=5.423 b=5.423 c=5.431 alpha=90.00 beta=90.00 gamma=90.00
Atoms (fractional coordinates):
Cs (0.000, 0.000, 0.000)
Li (0.000, 0.500, 0.500)
Li (0.500, 0.000, 0.500)
Ga (0.500, 0.500, 0.500)
Hg (0.500, 0.500, 0.000)

5.
This record from the Alexandria database describes Ac2Tl3Pb3 after structural relaxation. The functional is PBE.

Properties
- Magnetization: 0.0 μB/f.u.
- D(E_F): 5.461 states/eV/cell
- Energy of formation from the pure elements: -2.91 eV per formula unit
- Space group: Pmmm

Unit cell a=4.937 b=5.103 c=10.164 alpha=90.00 beta=90.00 gamma=90.00
Atoms (fractional coordinates):
Ac (0.000, 0.000, 0.249)
Ac (0.000, 0.000, 0.751)
Tl (0.000, 0.500, 0.500)
Tl (0.500, 0.500, 0.253)
Tl (0.500, 0.500, 0.747)
Pb (0.000, 0.500, 0.000)
Pb (0.500, 0.000, 0.000)
Pb (0.500, 0.000, 0.500)

6.
This record from the Alexandria database describes Ca2BPd after structural relaxation. The functional is PBE.

Properties
- Magnetization: 1.0 μB/f.u.
- D(E_F): 7.383 states/eV/cell
- Energy of formation from the pure elements: 1.63 eV per formula unit
- Space group: I-42d

Unit cell a=7.453 b=7.453 c=6.433 alpha=90.00 beta=90.00 gamma=90.00
Atoms (fractional coordinates):
Ca (0.223, 0.750, 0.125)
Ca (0.250, 0.223, 0.875)
Ca (0.250, 0.277, 0.375)
Ca (0.277, 0.750, 0.625)
Ca (0.723, 0.250, 0.625)
Ca (0.750, 0.723, 0.375)
Ca (0.750, 0.777, 0.875)
Ca (0.777, 0.250, 0.125)
B (0.000, 0.000, 0.000)
B (0.000, 0.500, 0.250)
B (0.500, 0.000, 0.750)
B (0.500, 0.500, 0.500)
Pd (0.000, 0.000, 0.500)
Pd (0.000, 0.500, 0.750)
Pd (0.500, 0.000, 0.250)
Pd (0.500, 0.500, 0.000)

7.
This record from the Alexandria database describes NaPd2Pt after structural relaxation. The functional is PBE.

Properties
- Magnetization: 0.0 μB/f.u.
- D(E_F): 24.400 states/eV/cell
- Polymorph energy (0 for the lowest one): 0.124 eV per atom
- Energy of formation from the pure elements: 0.13 eV per formula unit
- Space group: Fm-3m

Unit cell a=6.393 b=6.393 c=6.393 alpha=90.00 beta=90.00 gamma=90.00
Atoms (fractional coordinates):
Na (0.000, 0.000, 0.000)
Na (0.000, 0.500, 0.500)
Na (0.500, 0.000, 0.500)
Na (0.500, 0.500, 0.000)
Pd (0.250, 0.250, 0.250)
Pd (0.250, 0.250, 0.750)
Pd (0.250, 0.750, 0.250)
Pd (0.250, 0.750, 0.750)
Pd (0.750, 0.250, 0.250)
Pd (0.750, 0.250, 0.750)
Pd (0.750, 0.750, 0.250)
Pd (0.750, 0.750, 0.750)
Pt (0.000, 0.000, 0.500)
Pt (0.000, 0.500, 0.000)
Pt (0.500, 0.000, 0.000)
Pt (0.500, 0.500, 0.500)

8.
This record from the Alexandria database describes K6SrBr8 after structural relaxation. The functional is PBE.

Properties
- Magnetization: 0.0 μB/f.u.
- D(E_F): 0.000 states/eV/cell
- Formation energy without anion corrections: -1.83 eV per atom
- Space group: Fm-3m

Unit cell a=9.457 b=9.457 c=9.457 alpha=60.00 beta=60.00 gamma=60.00
Atoms (fractional coordinates):
K (0.000, 0.000, 0.500)
K (0.000, 0.500, 0.000)
K (0.000, 0.500, 0.500)
K (0.500, 0.000, 0.000)
K (0.500, 0.000, 0.500)
K (0.500, 0.500, 0.000)
Sr (0.000, 0.000, 0.000)
Br (0.230, 0.230, 0.770)
Br (0.230, 0.770, 0.230)
Br (0.230, 0.770, 0.770)
Br (0.250, 0.250, 0.250)
Br (0.750, 0.750, 0.750)
Br (0.770, 0.230, 0.230)
Br (0.770, 0.230, 0.770)
Br (0.770, 0.770, 0.230)

9.
This record from the Alexandria database describes Li2HoSb after structural relaxation. The functional is PBE.

Properties
- Magnetization: 0.0 μB/f.u.
- D(E_F): 0.824 states/eV/cell
- Formation energy without anion corrections: -0.54 eV per atom
- Space group: P4/mmm

Unit cell a=4.352 b=4.352 c=4.792 alpha=90.00 beta=90.00 gamma=90.00
Atoms (fractional coordinates):
Li (0.000, 0.500, 0.000)
Li (0.500, 0.000, 0.000)
Ho (0.000, 0.000, 0.500)
Sb (0.500, 0.500, 0.500)

10.
This record from the Alexandria database describes Ho4TlAg3 after structural relaxation. The functional is PBE.

Properties
- Magnetization: 0.0 μB/f.u.
- D(E_F): 7.009 states/eV/cell
- Polymorph energy (0 for the lowest one): 0.044 eV per atom
- Energy of formation from the pure elements: -2.26 eV per formula unit
- Space group: Pmm2

Unit cell a=3.690 b=4.840 c=11.319 alpha=90.00 beta=90.00 gamma=90.00
Atoms (fractional coordinates):
Ho (0.000, 0.000, 0.000)
Ho (0.000, 0.500, 0.278)
Ho (0.500, 0.000, 0.480)
Ho (0.500, 0.500, 0.792)
Tl (0.000, 0.000, 0.720)
Ag (0.000, 0.500, 0.552)
Ag (0.500, 0.000, 0.216)
Ag (0.500, 0.500, 0.060)

11.
This record from the Alexandria database describes Zn2GePd after structural relaxation. The functional is PBE.

Properties
- Magnetization: 0.0 μB/f.u.
- D(E_F): 4.294 states/eV/cell
- Energy of formation from the pure elements: -0.52 eV per formula unit
- Space group: R3m

Unit cell a=4.288 b=4.288 c=12.942 alpha=90.00 beta=90.00 gamma=120.00
Atoms (fractional coordinates):
Zn (0.000, 0.000, 0.000)
Zn (0.000, 0.000, 0.203)
Zn (0.333, 0.667, 0.667)
Zn (0.333, 0.667, 0.870)
Zn (0.667, 0.333, 0.333)
Zn (0.667, 0.333, 0.537)
Ge (0.000, 0.000, 0.785)
Ge (0.333, 0.667, 0.452)
Ge (0.667, 0.333, 0.119)
Pd (0.000, 0.000, 0.590)
Pd (0.333, 0.667, 0.257)
Pd (0.667, 0.333, 0.924)

12.
This record from the Alexandria database describes CrAgOs2 after structural relaxation. The functional is PBE.

Properties
- Magnetization: 0.0 μB/f.u.
- D(E_F): 11.444 states/eV/cell
- Polymorph energy (0 for the lowest one): 0.000 eV per atom
- Energy of formation from the pure elements: 1.10 eV per formula unit
- Space group: R-3m

Unit cell a=2.709 b=2.709 c=27.525 alpha=90.00 beta=90.00 gamma=120.00
Atoms (fractional coordinates):
Cr (0.000, 0.000, 0.000)
Cr (0.333, 0.667, 0.667)
Cr (0.667, 0.333, 0.333)
Ag (0.000, 0.000, 0.500)
Ag (0.333, 0.667, 0.167)
Ag (0.667, 0.333, 0.833)
Os (0.000, 0.000, 0.259)
Os (0.000, 0.000, 0.741)
Os (0.333, 0.667, 0.408)
Os (0.333, 0.667, 0.926)
Os (0.667, 0.333, 0.074)
Os (0.667, 0.333, 0.592)